! NaMnF2 | the Alexandria database | PBE+U | relaxed; values from VASP
! Total magnetization ... 5.0 μB/f.u.
! E above lowest polymorph ... 0.52 eV per formula unit
! Space group ... I-42d (122)
! DOS at the Fermi energy ... 0.92 states/eV per cell
&SYSTEM
  ibrav = 0, nat = 8, ntyp = 3
/
ATOMIC_SPECIES
Na 22.99 Na.upf
Mn 54.94 Mn.upf
F 19.00 F.upf
CELL_PARAMETERS angstrom
5.651 0.000 0.000
0.000 5.651 0.000
2.826 2.826 4.317
ATOMIC_POSITIONS crystal
Na 0.500 0.500 0.000
Na 0.250 0.750 0.500
Mn 0.000 0.000 0.000
Mn 0.750 0.250 0.500
F 0.644 0.125 0.250
F 0.106 0.625 0.250
F 0.375 0.356 0.750
F 0.875 0.894 0.750